[1]
MgZrTl3: optimized geometry, PBE-GGA.

Calculated values
The energy relative to the elements comes out at 0.5693 eV/atom. The value obtained for the total energy is -2.879 eV per atom. Its total magnetization is 0.00 μB per formula unit. As for the crystal system: cubic.

abc: 5.6883 5.6883 5.6883
angles: 90.00 90.00 90.00
Space group Pm-3m (No. 221)
Symmetry-distinct sites (fractional):
Mg1 0.0000 0.0000 0.0000 (multiplicity 1)
Zr1 0.5000 0.5000 0.5000 (multiplicity 1)
Tl1 0.0000 0.5000 0.5000 (multiplicity 3)

=====

[2]
Gd2AlZn: optimized geometry, PBE-GGA.

Calculated values
The energy relative to the elements comes out at -0.3012 eV/atom. The value obtained for the total energy is -8.596 eV per atom. Its total magnetization is 13.00 μB per formula unit. As for the crystal system: cubic.

abc: 7.2652 7.2652 7.2652
angles: 90.00 90.00 90.00
Space group Fm-3m (No. 225)
Symmetry-distinct sites (fractional):
Gd1 0.2500 0.2500 0.2500 (multiplicity 8)
Al1 0.0000 0.0000 0.0000 (multiplicity 4)
Zn1 0.0000 0.0000 0.5000 (multiplicity 4)

=====

[3]
SnPb2O: optimized geometry, PBE-GGA.

Calculated values
The raw formation energy is -0.196 eV/atom. The value obtained for the total energy is -4.290 eV per atom. Its total magnetization is 0.00 μB per formula unit. As for the crystal system: tetragonal.

abc: 5.9521 5.9521 13.4259
angles: 90.00 90.00 90.00
Space group I-42d (No. 122)
Symmetry-distinct sites (fractional):
Sn1 0.0000 0.0000 0.0000 (multiplicity 4)
Pb1 0.1531 0.2500 0.6250 (multiplicity 8)
O1 0.0000 0.0000 0.5000 (multiplicity 4)

=====

[4]
HgBrCl2: optimized geometry, PBE-GGA.

Calculated values
The raw formation energy is -0.132 eV/atom. The value obtained for the total energy is -1.549 eV per atom. Its total magnetization is 0.38 μB per formula unit. As for the crystal system: monoclinic.

abc: 11.7702 3.6396 7.1983
angles: 90.00 127.39 90.00
Space group C2/m (No. 12)
Symmetry-distinct sites (fractional):
Hg1 0.0000 0.0000 0.0000 (multiplicity 2)
Br1 0.0000 0.5000 0.5000 (multiplicity 2)
Cl1 0.1928 0.5000 0.1914 (multiplicity 4)

=====

[5]
Sr2AsBr: optimized geometry, PBE-GGA.

Calculated values
The raw formation energy is -1.538 eV/atom. The value obtained for the total energy is -3.959 eV per atom. Its total magnetization is 0.00 μB per formula unit. As for the crystal system: trigonal.

abc: 4.5063 4.5063 23.5572
angles: 90.00 90.00 120.00
Space group R3m (No. 160, hexagonal axes)
Symmetry-distinct sites (fractional):
Sr1 0.0000 0.0000 0.0000 (multiplicity 3)
Sr2 0.0000 0.0000 0.1957 (multiplicity 3)
As1 0.0000 0.0000 0.5976 (multiplicity 3)
Br1 0.0000 0.0000 0.4259 (multiplicity 3)

=====

[6]
TaSiH3: optimized geometry, PBE-GGA.

Calculated values
The value obtained for the total energy is -5.043 eV per atom. Its total magnetization is 0.00 μB per formula unit. As for the crystal system: cubic.

abc: 3.5801 3.5801 3.5801
angles: 90.00 90.00 90.00
Space group Pm-3m (No. 221)
Symmetry-distinct sites (fractional):
Ta1 0.0000 0.0000 0.0000 (multiplicity 1)
Si1 0.5000 0.5000 0.5000 (multiplicity 1)
H1 0.0000 0.0000 0.5000 (multiplicity 3)

=====

[7]
Ag12HgO7: optimized geometry, PBE-GGA.

Calculated values
The raw formation energy is -0.013 eV/atom. The value obtained for the total energy is -3.474 eV per atom. Its total magnetization is 0.00 μB per formula unit. As for the crystal system: trigonal.

abc: 11.5919 11.5919 8.0987
angles: 90.00 90.00 120.00
Space group R-3 (No. 148, hexagonal axes)
Symmetry-distinct sites (fractional):
Ag1 0.0082 0.4177 0.1736 (multiplicity 18)
Ag2 0.0450 0.8510 0.8536 (multiplicity 18)
Hg1 0.0000 0.0000 0.5000 (multiplicity 3)
O1 0.0000 0.0000 0.0000 (multiplicity 3)
O2 0.0247 0.8426 0.3331 (multiplicity 18)

=====

[8]
Li12InHg6: optimized geometry, PBE-GGA.

Calculated values
The energy relative to the elements comes out at -0.2736 eV/atom. The value obtained for the total energy is -1.722 eV per atom. Its total magnetization is 0.00 μB per formula unit. As for the crystal system: trigonal.

abc: 10.1903 10.1903 12.2543
angles: 90.00 90.00 120.00
Space group R-3 (No. 148, hexagonal axes)
Symmetry-distinct sites (fractional):
Li1 0.0310 0.8416 0.3140 (multiplicity 18)
Li2 0.0588 0.2164 0.9138 (multiplicity 18)
In1 0.0000 0.0000 0.5000 (multiplicity 3)
Hg1 0.0022 0.5825 0.2070 (multiplicity 18)

=====

[9]
CaTlAg2F8: optimized geometry, PBE-GGA.

Calculated values
The raw formation energy is -2.026 eV/atom. The value obtained for the total energy is -4.113 eV per atom. Its total magnetization is 1.03 μB per formula unit. As for the crystal system: monoclinic.

abc: 5.6253 4.0483 7.6546
angles: 90.00 94.02 90.00
Space group P2/m (No. 10)
Symmetry-distinct sites (fractional):
Ca1 0.0000 0.0000 0.0000 (multiplicity 1)
Tl1 0.0000 0.0000 0.5000 (multiplicity 1)
Ag1 0.4989 0.5000 0.7533 (multiplicity 2)
F1 0.2308 0.0000 0.7535 (multiplicity 2)
F2 0.2344 0.5000 0.5172 (multiplicity 2)
F3 0.2353 0.0000 0.2763 (multiplicity 2)
F4 0.2401 0.5000 0.0165 (multiplicity 2)

=====

[10]
HfSiNi6: optimized geometry, PBE-GGA.

Calculated values
The raw formation energy is 0.015 eV/atom. The value obtained for the total energy is -6.243 eV per atom. Its total magnetization is 0.00 μB per formula unit. As for the crystal system: trigonal.

abc: 4.9068 4.9068 17.1222
angles: 90.00 90.00 120.00
Space group R-3m (No. 166, hexagonal axes)
Symmetry-distinct sites (fractional):
Hf1 0.0000 0.0000 0.0000 (multiplicity 3)
Si1 0.0000 0.0000 0.5000 (multiplicity 3)
Ni1 0.0104 0.5052 0.9304 (multiplicity 18)

=====

[11]
PmYEr2Se6: optimized geometry, PBE-GGA.

Calculated values
The raw formation energy is -1.849 eV/atom. The value obtained for the total energy is -5.973 eV per atom. Its total magnetization is 0.00 μB per formula unit. As for the crystal system: trigonal.

abc: 7.2324 7.2324 19.4323
angles: 90.00 90.00 120.00
Space group R3 (No. 146, hexagonal axes)
Symmetry-distinct sites (fractional):
Pm1 0.0000 0.0000 0.0000 (multiplicity 3)
Y1 0.0000 0.0000 0.4964 (multiplicity 3)
Er1 0.0000 0.0000 0.2997 (multiplicity 3)
Er2 0.0000 0.0000 0.8020 (multiplicity 3)
Se1 0.0073 0.3106 0.8963 (multiplicity 9)
Se2 0.0180 0.7085 0.3967 (multiplicity 9)

=====

[12]
AcGe2Pd: optimized geometry, PBE-GGA.

Calculated values
The energy relative to the elements comes out at -0.7423 eV/atom. The value obtained for the total energy is -5.376 eV per atom. Its total magnetization is 0.00 μB per formula unit. As for the crystal system: trigonal.

abc: 4.3433 4.3433 16.6826
angles: 90.00 90.00 120.00
Space group R-3m (No. 166, hexagonal axes)
Symmetry-distinct sites (fractional):
Ac1 0.0000 0.0000 0.0000 (multiplicity 3)
Ge1 0.0000 0.0000 0.2135 (multiplicity 6)
Pd1 0.0000 0.0000 0.5000 (multiplicity 3)